A plane-wave DFT calculation with PBE was carried out for Dy5Ho2Sc2 after structural relaxation.

Cell: 11.6011 11.6011 11.6011 Å, 57.84 130.05 152.72°
Closest atoms and distances in Å follow each position.
Fractional positions:
Dy: 0.0545 0.7521 0.8023  8 Dy 3.35-3.59, 2 Ho 3.45
Dy: 0.1394 0.1101 0.2496  2 Sc 3.20-3.23, 3 Dy 3.41-3.49, 1 Ho 3.44
Dy: 0.1394 0.3899 0.5293  2 Sc 3.20-3.23, 3 Dy 3.41-3.49, 1 Ho 3.44
Dy: 0.3721 0.6641 0.0321  1 Sc 3.08, 2 Dy 3.35, 1 Ho 3.38
Dy: 0.3721 0.8400 0.2080  1 Sc 3.08, 2 Dy 3.35, 1 Ho 3.38
Dy: 0.6320 0.1641 0.7920  1 Sc 3.08, 2 Dy 3.35, 1 Ho 3.38
Dy: 0.6320 0.3400 0.9679  1 Sc 3.08, 2 Dy 3.35, 1 Ho 3.38
Dy: 0.8606 0.6101 0.4707  2 Sc 3.20-3.23, 3 Dy 3.41-3.49, 1 Ho 3.44
Dy: 0.8606 0.8899 0.7504  2 Sc 3.20-3.23, 3 Dy 3.41-3.49, 1 Ho 3.44
Dy: 0.9498 0.2521 0.1977  8 Dy 3.35-3.59, 2 Ho 3.45
Ho: 0.3393 0.2517 0.5876  2 Ho 3.23, 6 Dy 3.38-3.45
Ho: 0.5011 0.0011 0.5000  6 Sc 3.31-3.46, 2 Dy 3.53
Ho: 0.5011 0.5011 0.0000  6 Sc 3.31-3.46, 2 Dy 3.53
Ho: 0.6642 0.7517 0.4124  2 Ho 3.23, 6 Dy 3.38-3.45
Sc: 0.1629 0.5501 0.7097  3 Dy 3.08-3.23, 2 Sc 3.24, 2 Ho 3.31
Sc: 0.1629 0.9532 0.1128  3 Dy 3.08-3.23, 2 Sc 3.24, 2 Ho 3.31
Sc: 0.8404 0.0501 0.8872  3 Dy 3.08-3.23, 2 Sc 3.24, 2 Ho 3.31
Sc: 0.8404 0.4532 0.2903  3 Dy 3.08-3.23, 2 Sc 3.24, 2 Ho 3.31

* ΔE to the lowest computed polymorph: 0.016 eV/atom
* VASP energy: -4.858 eV per atom
* formation energy from the elements: 123 meV/atom
* space group: Ima2 (46)
* DOS(E_F): 15.676 states/eV/f.u.

A plane-wave DFT calculation with PBE was carried out for Dy4HoSc3 after structural relaxation.

Cell: 6.8396 6.8396 5.9578 Å, 106.79 106.79 60.51°
Closest atoms and distances in Å follow each position.
Fractional positions:
Dy: 0.0000 0.5000 0.0000  2 Ho 3.42, 4 Sc 3.42, 6 Dy 3.42-3.46
Dy: 0.2477 0.2477 0.4947  5 Sc 3.39-3.44, 6 Dy 3.42-3.46, 1 Ho 3.46
Dy: 0.5000 0.0000 0.0000  2 Ho 3.42, 4 Sc 3.42, 6 Dy 3.42-3.46
Dy: 0.7523 0.7523 0.5053  5 Sc 3.39-3.44, 6 Dy 3.42-3.46, 1 Ho 3.46
Ho: 0.5000 0.5000 0.0000  6 Dy 3.42-3.46, 6 Sc 3.45
Sc: 0.0000 0.0000 0.0000  6 Dy 3.39-3.42, 4 Sc 3.43, 2 Ho 3.45
Sc: 0.2475 0.7525 0.5000  6 Dy 3.40-3.44, 4 Sc 3.41-3.48, 2 Ho 3.45
Sc: 0.7525 0.2475 0.5000  6 Dy 3.40-3.44, 4 Sc 3.41-3.48, 2 Ho 3.45

* ΔE to the lowest computed polymorph: 0.025 eV/atom
* VASP energy: -5.196 eV per atom
* formation energy from the elements: 52 meV/atom
* space group: C2/m (12)
* DOS(E_F): 12.218 states/eV/f.u.